## Ti2GeTe (PBE)

Data for Ti2GeTe after structural relaxation.

- E above lowest polymorph: 314 meV per atom
- E_form (uncorrected): -0.26 eV/atom
- SG: Fm-3m (225)

```
Ti2GeTe
1.0
-2.6168 2.1882 3.2242
-4.4789 1.0502 -0.9314
-3.4548 -2.3108 2.1808
Ti Te Ge
2 1 1
Cartesian
-7.9129 0.6957 3.3552
-2.6376 0.2319 1.1184
-5.2753 0.4638 2.2368
0.0000 0.0000 0.0000
```